(1)
The following is a DFT calculation (GGA-PBE) of La2Cu2Mo after structural relaxation.

```
data_La2Cu2Mo
_chemical_formula_sum 'La4 Cu4 Mo2'
_symmetry_space_group_name_H-M 'P 4/m b m'
_symmetry_Int_Tables_number 127
_symmetry_space_group_name_Hall '-P 4 2ab'
_cell_length_a 7.124
_cell_length_b 7.124
_cell_length_c 4.417
_cell_angle_alpha 90.00
_cell_angle_beta 90.00
_cell_angle_gamma 90.00
loop_
_atom_site_label
_atom_site_type_symbol
_atom_site_fract_x
_atom_site_fract_y
_atom_site_fract_z
La1 La 0.191 0.309 0.000
Cu1 Cu 0.123 0.623 0.500
Mo1 Mo 0.000 0.000 0.500
```

Values from the calculation:
Electronic total energy: -5.5107 eV per atom
Crystal system: tetragonal
Size of the total moment: 1.4 μB per formula unit
DFT formation energy: 1.33 eV per formula unit
Volume: 22.42 A^3/atom

---

(2)
The following is a DFT calculation (GGA-PBE) of Y2Be4Pt3Rh after structural relaxation.

```
data_Y2Be4Pt3Rh
_chemical_formula_sum 'Y2 Be4 Pt3 Rh1'
_symmetry_space_group_name_H-M 'P -4 m 2'
_symmetry_Int_Tables_number 115
_cell_length_a 4.045
_cell_length_b 4.045
_cell_length_c 9.298
_cell_angle_alpha 90.00
_cell_angle_beta 90.00
_cell_angle_gamma 90.00
loop_
_symmetry_equiv_pos_as_xyz
'x,y,z'
'y,-x,-z'
'-x,-y,z'
'-y,x,-z'
'-x,y,z'
'-y,-x,-z'
'x,-y,z'
'y,x,-z'
loop_
_atom_site_label
_atom_site_type_symbol
_atom_site_fract_x
_atom_site_fract_y
_atom_site_fract_z
Y1 Y 0.000 0.500 0.246
Be1 Be 0.000 0.000 0.500
Be2 Be 0.000 0.500 0.877
Be3 Be 0.500 0.500 0.500
Pt1 Pt 0.000 0.000 0.000
Pt2 Pt 0.000 0.500 0.625
Rh1 Rh 0.500 0.500 0.000
```

Values from the calculation:
Electronic total energy: -6.2092 eV per atom
Crystal system: tetragonal
Size of the total moment: 0.0 μB per formula unit
DFT formation energy: -8.79 eV per formula unit
Volume: 15.21 A^3/atom

---

(3)
The following is a DFT calculation (GGA-PBE) of ZrSbAs after structural relaxation.

```
data_ZrSbAs
_chemical_formula_sum 'Zr2 Sb2 As2'
_symmetry_space_group_name_H-M 'I 4 m m'
_symmetry_Int_Tables_number 107
_symmetry_space_group_name_Hall 'I 4 -2'
_cell_length_a 3.095
_cell_length_b 3.095
_cell_length_c 15.254
_cell_angle_alpha 90.00
_cell_angle_beta 90.00
_cell_angle_gamma 90.00
loop_
_atom_site_label
_atom_site_type_symbol
_atom_site_fract_x
_atom_site_fract_y
_atom_site_fract_z
Zr1 Zr 0.000 0.000 0.000
Sb1 Sb 0.000 0.000 0.348
As1 As 0.000 0.000 0.629
```

Values from the calculation:
Electronic total energy: -6.0904 eV per atom
ΔE to the lowest computed polymorph: 299.5 meV per atom
Crystal system: tetragonal
E_form (uncorrected): -92 kJ/mol of formula units
Size of the total moment: 0.0 μB per formula unit
Volume: 24.34 A^3/atom

---

(4)
The following is a DFT calculation (GGA-PBE) of La4PSCl2 after structural relaxation.

```
data_La4PSCl2
_chemical_formula_sum 'La4 P1 S1 Cl2'
_symmetry_space_group_name_H-M 'P 1 2/m 1'
_symmetry_Int_Tables_number 10
_cell_length_a 7.242
_cell_length_b 4.211
_cell_length_c 7.287
_cell_angle_alpha 90.00
_cell_angle_beta 109.57
_cell_angle_gamma 90.00
loop_
_symmetry_equiv_pos_as_xyz
'x,y,z'
'-x,-y,-z'
'-x,y,-z'
'x,-y,z'
loop_
_atom_site_label
_atom_site_type_symbol
_atom_site_fract_x
_atom_site_fract_y
_atom_site_fract_z
La1 La 0.242 0.000 0.227
La2 La 0.258 0.500 0.773
P1 P 0.000 0.500 0.000
S1 S 0.500 0.000 0.000
Cl1 Cl 0.000 0.000 0.500
Cl2 Cl 0.500 0.500 0.500
```

Values from the calculation:
Electronic total energy: -5.9229 eV per atom
Crystal system: monoclinic
E_form (uncorrected): -1393 kJ/mol of formula units
Size of the total moment: 0.0 μB per formula unit
Volume: 26.17 A^3/atom

---

(5)
The following is a DFT calculation (GGA-PBE) of Pm2Er3Ir2 after structural relaxation.

```
data_Pm2Er3Ir2
_chemical_formula_sum 'Pm4 Er6 Ir4'
_symmetry_space_group_name_H-M 'C 1 2/m 1'
_symmetry_Int_Tables_number 12
_cell_length_a 12.195
_cell_length_b 3.813
_cell_length_c 8.984
_cell_angle_alpha 90.00
_cell_angle_beta 116.88
_cell_angle_gamma 90.00
loop_
_symmetry_equiv_pos_as_xyz
'x,y,z'
'-x,-y,-z'
'-x,y,-z'
'x,-y,z'
'x+1/2,y+1/2,z'
'-x+1/2,-y+1/2,-z'
'-x+1/2,y+1/2,-z'
'x+1/2,-y+1/2,z'
loop_
_atom_site_label
_atom_site_type_symbol
_atom_site_fract_x
_atom_site_fract_y
_atom_site_fract_z
Pm1 Pm 0.166 0.000 0.306
Er1 Er 0.000 0.500 0.500
Er2 Er 0.120 0.500 0.931
Ir1 Ir 0.172 0.000 0.740
```

Values from the calculation:
Electronic total energy: -6.4614 eV per atom
Crystal system: monoclinic
Size of the total moment: 0.0 μB per formula unit
DFT formation energy: -4.32 eV per formula unit
Volume: 26.62 A^3/atom

---

(6)
The following is a DFT calculation (GGA-PBE) of BaRuN2 after structural relaxation.

```
data_BaRuN2
_chemical_formula_sum 'Ba8 Ru8 N16'
_symmetry_space_group_name_H-M 'C m c e'
_symmetry_Int_Tables_number 64
_symmetry_space_group_name_Hall '-C 2ac 2'
_cell_length_a 6.116
_cell_length_b 11.857
_cell_length_c 8.050
_cell_angle_alpha 90.00
_cell_angle_beta 90.00
_cell_angle_gamma 90.00
loop_
_atom_site_label
_atom_site_type_symbol
_atom_site_fract_x
_atom_site_fract_y
_atom_site_fract_z
Ba1 Ba 0.000 0.156 0.063
Ru1 Ru 0.000 0.062 0.629
N1 N 0.000 0.118 0.402
N2 N 0.250 0.096 0.750
```

Values from the calculation:
Electronic total energy: -7.1643 eV per atom
ΔE to the lowest computed polymorph: 0.0 meV per atom
Crystal system: orthorhombic
E_form (uncorrected): -78 kJ/mol of formula units
Size of the total moment: 0.0 μB per formula unit
Volume: 18.24 A^3/atom

---

(7)
The following is a DFT calculation (GGA-PBE) of Sr2MgAg after structural relaxation.

```
data_Sr2MgAg
_chemical_formula_sum 'Sr4 Mg2 Ag2'
_symmetry_space_group_name_H-M 'C 1 2/m 1'
_symmetry_Int_Tables_number 12
_cell_length_a 7.721
_cell_length_b 4.422
_cell_length_c 9.423
_cell_angle_alpha 90.00
_cell_angle_beta 105.30
_cell_angle_gamma 90.00
loop_
_symmetry_equiv_pos_as_xyz
'x,y,z'
'-x,-y,-z'
'-x,y,-z'
'x,-y,z'
'x+1/2,y+1/2,z'
'-x+1/2,-y+1/2,-z'
'-x+1/2,y+1/2,-z'
'x+1/2,-y+1/2,z'
loop_
_atom_site_label
_atom_site_type_symbol
_atom_site_fract_x
_atom_site_fract_y
_atom_site_fract_z
Sr1 Sr 0.237 0.000 0.213
Mg1 Mg 0.000 0.000 0.500
Ag1 Ag 0.000 0.500 0.000
```

Values from the calculation:
Electronic total energy: -1.9693 eV per atom
Crystal system: monoclinic
Size of the total moment: 0.0 μB per formula unit
DFT formation energy: -0.07 eV per formula unit
Volume: 38.79 A^3/atom

---

(8)
The following is a DFT calculation (GGA-PBE) of TmSi2Ni2 after structural relaxation.

```
data_TmSi2Ni2
_chemical_formula_sum 'Tm2 Si4 Ni4'
_symmetry_space_group_name_H-M 'I 4/m m m'
_symmetry_Int_Tables_number 139
_symmetry_space_group_name_Hall '-I 4 2'
_cell_length_a 3.939
_cell_length_b 3.939
_cell_length_c 9.492
_cell_angle_alpha 90.00
_cell_angle_beta 90.00
_cell_angle_gamma 90.00
loop_
_atom_site_label
_atom_site_type_symbol
_atom_site_fract_x
_atom_site_fract_y
_atom_site_fract_z
Tm1 Tm 0.000 0.000 0.000
Si1 Si 0.000 0.000 0.374
Ni1 Ni 0.000 0.500 0.250
```

Values from the calculation:
Electronic total energy: -6.2276 eV per atom
ΔE to the lowest computed polymorph: 0.0 meV per atom
Crystal system: tetragonal
E_form (uncorrected): -411 kJ/mol of formula units
Size of the total moment: 0.0 μB per formula unit
Volume: 14.73 A^3/atom

---

(9)
The following is a DFT calculation (GGA-PBE) of KZrW2 after structural relaxation.

```
data_KZrW2
_chemical_formula_sum 'K1 Zr1 W2'
_symmetry_space_group_name_H-M 'P m m m'
_symmetry_Int_Tables_number 47
_cell_length_a 3.410
_cell_length_b 4.487
_cell_length_c 5.160
_cell_angle_alpha 90.00
_cell_angle_beta 90.00
_cell_angle_gamma 90.00
loop_
_symmetry_equiv_pos_as_xyz
'x,y,z'
'-x,-y,-z'
'-x,-y,z'
'x,y,-z'
'x,-y,-z'
'-x,y,z'
'-x,y,-z'
'x,-y,z'
loop_
_atom_site_label
_atom_site_type_symbol
_atom_site_fract_x
_atom_site_fract_y
_atom_site_fract_z
K1 K 0.000 0.000 0.000
Zr1 Zr 0.500 0.500 0.000
W1 W 0.000 0.500 0.500
W2 W 0.500 0.000 0.500
```

Values from the calculation:
Electronic total energy: -7.4104 eV per atom
ΔE to the lowest computed polymorph: 794.2 meV per atom
Crystal system: orthorhombic
Size of the total moment: 0.0 μB per formula unit
DFT formation energy: 5.91 eV per formula unit
Volume: 19.74 A^3/atom

---

(10)
The following is a DFT calculation (GGA-PBE) of BeHgAu2 after structural relaxation.

```
data_BeHgAu2
_chemical_formula_sum 'Be4 Hg4 Au8'
_symmetry_space_group_name_H-M 'I -4 2 d'
_symmetry_Int_Tables_number 122
_symmetry_space_group_name_Hall 'I -4 2bw'
_cell_length_a 7.283
_cell_length_b 7.283
_cell_length_c 5.405
_cell_angle_alpha 90.00
_cell_angle_beta 90.00
_cell_angle_gamma 90.00
loop_
_atom_site_label
_atom_site_type_symbol
_atom_site_fract_x
_atom_site_fract_y
_atom_site_fract_z
Be1 Be 0.000 0.000 0.000
Hg1 Hg 0.000 0.000 0.500
Au1 Au 0.173 0.250 0.125
```

Values from the calculation:
Electronic total energy: -2.5684 eV per atom
ΔE to the lowest computed polymorph: 108.3 meV per atom
Crystal system: tetragonal
Size of the total moment: 0.0 μB per formula unit
DFT formation energy: 0.31 eV per formula unit
Volume: 17.92 A^3/atom

---

(11)
The following is a DFT calculation (GGA-PBE) of CuSn2Pd9 after structural relaxation.

```
data_CuSn2Pd9
_chemical_formula_sum 'Cu1 Sn2 Pd9'
_symmetry_space_group_name_H-M 'P 4/m m m'
_symmetry_Int_Tables_number 123
_symmetry_space_group_name_Hall '-P 4 2'
_cell_length_a 4.022
_cell_length_b 4.022
_cell_length_c 11.826
_cell_angle_alpha 90.00
_cell_angle_beta 90.00
_cell_angle_gamma 90.00
loop_
_atom_site_label
_atom_site_type_symbol
_atom_site_fract_x
_atom_site_fract_y
_atom_site_fract_z
Cu1 Cu 0.000 0.000 0.000
Sn1 Sn 0.000 0.000 0.326
Pd1 Pd 0.000 0.500 0.158
Pd2 Pd 0.000 0.500 0.500
Pd3 Pd 0.500 0.500 0.000
Pd4 Pd 0.500 0.500 0.330
```

Values from the calculation:
Electronic total energy: -5.2401 eV per atom
Crystal system: tetragonal
Size of the total moment: 0.0 μB per formula unit
DFT formation energy: -4.04 eV per formula unit
Volume: 15.94 A^3/atom

---

(12)
The following is a DFT calculation (GGA-PBE) of Nd3TlSe6 after structural relaxation.

```
data_Nd3TlSe6
_chemical_formula_sum 'Nd12 Tl4 Se24'
_symmetry_space_group_name_H-M 'C m c 21'
_symmetry_Int_Tables_number 36
_cell_length_a 11.561
_cell_length_b 14.435
_cell_length_c 7.111
_cell_angle_alpha 90.00
_cell_angle_beta 90.00
_cell_angle_gamma 90.00
loop_
_symmetry_equiv_pos_as_xyz
'x,y,z'
'-x,-y,z+1/2'
'-x,y,z'
'x,-y,z+1/2'
'x+1/2,y+1/2,z'
'-x+1/2,-y+1/2,z+1/2'
'-x+1/2,y+1/2,z'
'x+1/2,-y+1/2,z+1/2'
loop_
_atom_site_label
_atom_site_type_symbol
_atom_site_fract_x
_atom_site_fract_y
_atom_site_fract_z
Nd1 Nd 0.000 0.094 0.000
Nd2 Nd 0.185 0.403 0.901
Tl1 Tl 0.000 0.298 0.379
Se1 Se 0.000 0.277 0.751
Se2 Se 0.000 0.469 0.204
Se3 Se 0.163 0.033 0.703
Se4 Se 0.175 0.229 0.167
```

Values from the calculation:
Electronic total energy: -5.2107 eV per atom
Crystal system: orthorhombic
E_form (uncorrected): -1402 kJ/mol of formula units
Size of the total moment: 0.0 μB per formula unit
Volume: 29.67 A^3/atom